DFT (PBE-GGA) results for a relaxed CoOs crystal.

Lattice parameters (Å, degrees): 7.132 7.132 7.132 90.00 90.00 90.00
Atoms (fractional coordinates):
1 Co 0.668 0.668 0.668
2 Co 0.332 0.668 0.332
3 Co 0.332 0.332 0.668
4 Co 0.832 0.168 0.832
5 Co 0.168 0.832 0.832
6 Co 0.168 0.168 0.168
7 Co 0.832 0.832 0.168
8 Co 0.668 0.332 0.332
9 Os 0.849 0.151 0.151
10 Os 0.151 0.151 0.849
11 Os 0.849 0.849 0.849
12 Os 0.349 0.349 0.349
13 Os 0.349 0.651 0.651
14 Os 0.651 0.349 0.651
15 Os 0.151 0.849 0.151
16 Os 0.651 0.651 0.349

ΔE_f = 321 kJ/mol of formula units



DFT (PBE-GGA) results for a relaxed MnWSCl2 crystal.

Lattice parameters (Å, degrees): 4.905 4.905 4.629 90.00 90.00 90.00
Last column: magnetic moment on the atom in μB.
Atoms (fractional coordinates):
1 Cl 0.000 0.500 0.000  0.04
2 Cl 0.500 0.000 0.000  0.04
3 W 0.000 0.000 0.000  0.10
4 Mn 0.500 0.500 0.500  4.70
5 S 0.000 0.000 0.500  0.02

relative energy among the computed polymorphs = 0.0 meV per atom



DFT (PBE-GGA) results for a relaxed LiCr3Br crystal.

Lattice parameters (Å, degrees): 4.802 4.802 4.802 90.00 90.00 90.00
Last column: magnetic moment on the atom in μB.
Atoms (fractional coordinates):
1 Cr 0.000 0.500 0.000  4.01
2 Cr 0.000 0.000 0.500  4.08
3 Cr 0.500 0.000 0.000  3.89
4 Li 0.000 0.000 0.000  0.09
5 Br 0.500 0.500 0.500  0.03

relative energy among the computed polymorphs = 0.0 meV per atom



no.,DOS at the Fermi energy (states/eV per cell),VASP energy (eV/atom)
1,21.60,-7.507
2,3.97,-5.669
3,2.63,-5.146